Entry 1:
First-principles (PBE) data for a relaxed structure of Li3Ag2Au2, as listed in Alexandria via LeMat-Bulk.

Cell: 4.104 4.953 6.236 Å, 97.04 90.14 114.18°
Positions (direct):
Li1 0.000 0.000 0.000
Li2 0.285 0.569 0.845
Li3 0.715 0.431 0.155
Ag1 0.141 0.282 0.423
Ag2 0.859 0.718 0.577
Au1 0.422 0.844 0.255
Au2 0.578 0.156 0.745

Computed properties:
The energy relative to the elements comes out at -220 kJ/mol of formula units. The volume is 16.37 Å³/atom. For the offset from the most stable computed form, the calculation gives 0 meV per atom.

Entry 2:
First-principles (PBE) data for a relaxed structure of Li2Ag7Au, as listed in Alexandria via LeMat-Bulk.

Cell: 7.877 7.877 4.206 Å, 90.00 90.00 123.14°
Positions (direct):
Li1 0.194 0.806 0.000
Li2 0.806 0.194 0.000
Ag1 0.000 0.000 0.000
Ag2 0.206 0.419 0.000
Ag3 0.299 0.701 0.500
Ag4 0.419 0.206 0.000
Ag5 0.581 0.794 0.000
Ag6 0.701 0.299 0.500
Ag7 0.794 0.581 0.000
Au1 0.500 0.500 0.500

Computed properties:
The energy relative to the elements comes out at 226 kJ/mol of formula units. The volume is 21.85 Å³/atom.

Entry 3:
First-principles (PBE) data for a relaxed structure of Li3AgAu12, as listed in Alexandria via LeMat-Bulk.

Cell: 4.064 4.064 16.582 Å, 90.00 90.00 90.00°
Positions (direct):
Li1 0.000 0.000 0.000
Li2 0.000 0.000 0.247
Li3 0.000 0.000 0.753
Ag1 0.000 0.000 0.500
Au1 0.000 0.500 0.123
Au2 0.000 0.500 0.369
Au3 0.000 0.500 0.631
Au4 0.000 0.500 0.877
Au5 0.500 0.000 0.123
Au6 0.500 0.000 0.369
Au7 0.500 0.000 0.631
Au8 0.500 0.000 0.877
Au9 0.500 0.500 0.000
Au10 0.500 0.500 0.246
Au11 0.500 0.500 0.500
Au12 0.500 0.500 0.754

Computed properties:
The energy relative to the elements comes out at -419 kJ/mol of formula units. The volume is 17.11 Å³/atom.

Entry 4:
First-principles (PBE) data for a relaxed structure of LiAgAu, as listed in Alexandria via LeMat-Bulk.

Cell: 4.117 4.942 5.662 Å, 74.01 89.84 65.60°
Positions (direct):
Li1 0.162 0.176 0.320
Li2 0.838 0.824 0.680
Ag1 0.500 0.500 0.000
Ag2 0.500 0.500 0.500
Au1 0.170 0.160 0.819
Au2 0.830 0.840 0.181

Computed properties:
The energy relative to the elements comes out at -92 kJ/mol of formula units. The volume is 16.67 Å³/atom. For the offset from the most stable computed form, the calculation gives 5 meV per atom.

Entry 5:
First-principles (PBE) data for a relaxed structure of LiAg6Au8, as listed in Alexandria via LeMat-Bulk.

Cell: 8.416 8.416 4.820 Å, 90.00 90.00 120.00°
Positions (direct):
Li1 0.000 0.000 0.000
Ag1 0.214 0.427 0.000
Ag2 0.214 0.786 0.000
Ag3 0.427 0.214 0.000
Ag4 0.573 0.786 0.000
Ag5 0.786 0.214 0.000
Ag6 0.786 0.573 0.000
Au1 0.000 0.324 0.500
Au2 0.000 0.676 0.500
Au3 0.324 0.000 0.500
Au4 0.324 0.324 0.500
Au5 0.333 0.667 0.500
Au6 0.667 0.333 0.500
Au7 0.676 0.000 0.500
Au8 0.676 0.676 0.500

Computed properties:
The energy relative to the elements comes out at -44 kJ/mol of formula units. The volume is 19.71 Å³/atom. For the offset from the most stable computed form, the calculation gives 0 meV per atom.

Entry 6:
First-principles (PBE) data for a relaxed structure of Li3Ag3Au, as listed in Alexandria via LeMat-Bulk.

Cell: 7.818 7.818 7.818 Å, 90.00 90.00 90.00°
Positions (direct):
Li1 0.031 0.298 0.864
Li2 0.136 0.531 0.202
Li3 0.202 0.136 0.531
Li4 0.298 0.864 0.031
Li5 0.364 0.469 0.702
Li6 0.469 0.702 0.364
Li7 0.531 0.202 0.136
Li8 0.636 0.969 0.798
Li9 0.702 0.364 0.469
Li10 0.798 0.636 0.969
Li11 0.864 0.031 0.298
Li12 0.969 0.798 0.636
Ag1 0.039 0.461 0.539
Ag2 0.152 0.848 0.348
Ag3 0.171 0.171 0.171
Ag4 0.329 0.829 0.671
Ag5 0.348 0.152 0.848
Ag6 0.461 0.539 0.039
Ag7 0.539 0.039 0.461
Ag8 0.652 0.652 0.652
Ag9 0.671 0.329 0.829
Ag10 0.829 0.671 0.329
Ag11 0.848 0.348 0.152
Ag12 0.961 0.961 0.961
Au1 0.120 0.620 0.880
Au2 0.380 0.380 0.380
Au3 0.620 0.880 0.120
Au4 0.880 0.120 0.620

Computed properties:
The energy relative to the elements comes out at -134 kJ/mol of formula units. The volume is 17.07 Å³/atom. For the offset from the most stable computed form, the calculation gives 0 meV per atom.

Question: Which value of energy relative to the elements does entry 4 give?
Answer: -92 kJ/mol of formula units

Please write out number 6 again, unchanged.
First-principles (PBE) data for a relaxed structure of Li3Ag3Au, as listed in Alexandria via LeMat-Bulk.

Cell: 7.818 7.818 7.818 Å, 90.00 90.00 90.00°
Positions (direct):
Li1 0.031 0.298 0.864
Li2 0.136 0.531 0.202
Li3 0.202 0.136 0.531
Li4 0.298 0.864 0.031
Li5 0.364 0.469 0.702
Li6 0.469 0.702 0.364
Li7 0.531 0.202 0.136
Li8 0.636 0.969 0.798
Li9 0.702 0.364 0.469
Li10 0.798 0.636 0.969
Li11 0.864 0.031 0.298
Li12 0.969 0.798 0.636
Ag1 0.039 0.461 0.539
Ag2 0.152 0.848 0.348
Ag3 0.171 0.171 0.171
Ag4 0.329 0.829 0.671
Ag5 0.348 0.152 0.848
Ag6 0.461 0.539 0.039
Ag7 0.539 0.039 0.461
Ag8 0.652 0.652 0.652
Ag9 0.671 0.329 0.829
Ag10 0.829 0.671 0.329
Ag11 0.848 0.348 0.152
Ag12 0.961 0.961 0.961
Au1 0.120 0.620 0.880
Au2 0.380 0.380 0.380
Au3 0.620 0.880 0.120
Au4 0.880 0.120 0.620

Computed properties:
The energy relative to the elements comes out at -134 kJ/mol of formula units. The volume is 17.07 Å³/atom. For the offset from the most stable computed form, the calculation gives 0 meV per atom.

What did the first record say?
First-principles (PBE) data for a relaxed structure of Li3Ag2Au2, as listed in Alexandria via LeMat-Bulk.

Cell: 4.104 4.953 6.236 Å, 97.04 90.14 114.18°
Positions (direct):
Li1 0.000 0.000 0.000
Li2 0.285 0.569 0.845
Li3 0.715 0.431 0.155
Ag1 0.141 0.282 0.423
Ag2 0.859 0.718 0.577
Au1 0.422 0.844 0.255
Au2 0.578 0.156 0.745

Computed properties:
The energy relative to the elements comes out at -220 kJ/mol of formula units. The volume is 16.37 Å³/atom. For the offset from the most stable computed form, the calculation gives 0 meV per atom.

Question: Among the records above, which one has the lowest energy relative to the elements?
Answer: Li3AgAu12